--- 1 ---
Hf2Zr2Sc: optimized geometry, PBE.

a b c (Å): 7.961 5.698 5.698
angles (deg): 92.21 106.20 106.20
Element x y z (fractional)
1 Zr 0.638 0.060 0.248
2 Hf 0.000 0.500 0.500
3 Zr 0.862 0.752 0.940
4 Hf 0.500 0.500 0.000
5 Hf 0.500 0.500 0.500
6 Hf 0.000 0.000 0.500
7 Zr 0.138 0.248 0.060
8 Sc 0.250 0.796 0.204
9 Sc 0.750 0.204 0.796
10 Zr 0.362 0.940 0.752

For the density of states at the Fermi level, the calculation gives 6.9 states/eV/f.u. Its space group is C2/c, No. 15.



--- 2 ---
Hf2Zr2Sc: optimized geometry, PBE.

a b c (Å): 7.848 7.848 3.807
angles (deg): 90.00 90.00 90.00
Element x y z (fractional)
1 Hf 0.652 0.848 0.500
2 Hf 0.848 0.348 0.500
3 Sc 0.000 0.000 0.000
4 Zr 0.858 0.642 0.000
5 Hf 0.152 0.652 0.500
6 Sc 0.500 0.500 0.000
7 Hf 0.348 0.152 0.500
8 Zr 0.358 0.858 0.000
9 Zr 0.642 0.142 0.000
10 Zr 0.142 0.358 0.000

For the density of states at the Fermi level, the calculation gives 6.2 states/eV/f.u. Its space group is P4/mbm, No. 127.



--- 3 ---
Hf2Zr2Sc: optimized geometry, PBE.

a b c (Å): 8.635 8.635 6.267
angles (deg): 90.05 136.37 118.29
Element x y z (fractional)
1 Zr 0.718 0.139 0.178
2 Hf 0.146 0.567 0.378
3 Sc 0.457 0.631 0.199
4 Hf 0.311 0.232 0.878
5 Sc 0.068 0.742 0.699
6 Zr 0.280 0.961 0.348
7 Hf 0.798 0.851 0.146
8 Hf 0.796 0.349 0.646
9 Zr 0.540 0.460 0.678
10 Zr 0.887 0.068 0.848

For the density of states at the Fermi level, the calculation gives 4.9 states/eV/f.u. Its space group is Cc, No. 9.



--- 4 ---
Hf2Zr2Sc: optimized geometry, PBE.

a b c (Å): 8.063 8.063 3.629
angles (deg): 90.00 90.00 90.00
Element x y z (fractional)
1 Zr 0.336 0.164 0.500
2 Sc 0.000 0.000 0.000
3 Hf 0.869 0.631 0.000
4 Hf 0.131 0.369 0.000
5 Sc 0.500 0.500 0.000
6 Zr 0.164 0.664 0.500
7 Hf 0.369 0.869 0.000
8 Hf 0.631 0.131 0.000
9 Zr 0.664 0.836 0.500
10 Zr 0.836 0.336 0.500

For the density of states at the Fermi level, the calculation gives 6.1 states/eV/f.u. Its space group is P4/mbm, No. 127.



Stability summary: most stable 4, least stable 1.



--- 1 ---
Hf2ZrSc3: optimized geometry, PBE.

a b c (Å): 3.127 8.105 11.774
angles (deg): 78.94 82.37 78.88
Element x y z (fractional)
1 Hf 0.660 0.154 0.526
2 Sc 0.741 0.814 0.703
3 Zr 0.433 0.485 0.648
4 Hf 0.818 0.480 0.884
5 Sc 0.400 0.180 0.021
6 Sc 0.965 0.848 0.221
7 Sc 0.600 0.820 0.979
8 Hf 0.340 0.846 0.474
9 Sc 0.259 0.186 0.297
10 Zr 0.567 0.515 0.352
11 Hf 0.182 0.520 0.116
12 Sc 0.035 0.152 0.779

For the density of states at the Fermi level, the calculation gives 8.4 states/eV/f.u. Its space group is C2/m, No. 12.



--- 2 ---
Hf2ZrSc3: optimized geometry, PBE.

a b c (Å): 5.068 8.617 6.548
angles (deg): 78.21 90.00 90.00
Element x y z (fractional)
1 Zr 0.993 0.775 0.801
2 Sc 0.993 0.446 0.644
3 Sc 0.993 0.115 0.978
4 Sc 0.493 0.885 0.022
5 Zr 0.493 0.225 0.199
6 Sc 0.493 0.219 0.689
7 Hf 0.493 0.556 0.865
8 Hf 0.993 0.444 0.135
9 Sc 0.993 0.781 0.311
10 Hf 0.993 0.108 0.470
11 Hf 0.493 0.892 0.530
12 Sc 0.493 0.554 0.356

For the density of states at the Fermi level, the calculation gives 9.7 states/eV/f.u. Its space group is P2_1/m, No. 11.



Stability summary: most stable 2, least stable 1.



--- 1 ---
HfZr2Sc4: optimized geometry, PBE.

a b c (Å): 4.993 5.026 15.228
angles (deg): 90.00 90.00 119.78
Element x y z (fractional)
1 Sc 0.165 0.329 0.647
2 Sc 0.500 0.000 0.500
3 Zr 0.831 0.661 0.552
4 Sc 0.168 0.337 0.250
5 Sc 0.835 0.671 0.147
6 Zr 0.169 0.339 0.448
7 Zr 0.831 0.661 0.948
8 Sc 0.165 0.329 0.853
9 Sc 0.500 0.000 0.000
10 Sc 0.835 0.671 0.353
11 Sc 0.832 0.663 0.750
12 Hf 0.501 0.002 0.250
13 Zr 0.169 0.339 0.052
14 Hf 0.499 0.998 0.750

For the density of states at the Fermi level, the calculation gives 14.7 states/eV/f.u. Its space group is Cmcm, No. 63.



--- 2 ---
HfZr2Sc4: optimized geometry, PBE.

a b c (Å): 3.232 12.178 20.308
angles (deg): 90.00 90.00 57.94
Element x y z (fractional)
1 Hf 0.800 0.850 0.362
2 Zr 0.840 0.331 0.261
3 Sc 0.046 0.726 0.602
4 Sc 0.113 0.443 0.652
5 Sc 0.887 0.557 0.348
6 Sc 0.170 0.914 0.699
7 Sc 0.954 0.274 0.398
8 Zr 0.500 0.000 0.500
9 Sc 0.485 0.258 0.528
10 Hf 0.200 0.150 0.638
11 Zr 0.340 0.831 0.239
12 Sc 0.830 0.086 0.301
13 Zr 0.000 0.000 0.000
14 Sc 0.546 0.226 0.898
15 Zr 0.500 0.500 0.500
16 Sc 0.454 0.774 0.102
17 Zr 0.660 0.169 0.761
18 Sc 0.985 0.758 0.972
19 Hf 0.700 0.650 0.862
20 Sc 0.330 0.586 0.199
21 Sc 0.015 0.242 0.028
22 Sc 0.515 0.742 0.472
23 Zr 0.160 0.669 0.739
24 Hf 0.300 0.350 0.138
25 Sc 0.387 0.057 0.152
26 Sc 0.670 0.414 0.801
27 Zr 0.000 0.500 0.000
28 Sc 0.613 0.943 0.848

For the density of states at the Fermi level, the calculation gives 9.4 states/eV/f.u. Its space group is P2_1/c, No. 14.



Stability summary: most stable 2, least stable 1.



--- 1 ---
HfZr2Sc: optimized geometry, PBE.

a b c (Å): 3.195 3.195 10.648
angles (deg): 81.37 81.37 60.00
Element x y z (fractional)
1 Zr 0.752 0.752 0.744
2 Zr 0.248 0.248 0.256
3 Hf 0.500 0.500 0.500
4 Sc 0.000 0.000 0.000

For the density of states at the Fermi level, the calculation gives 6.1 states/eV/f.u. Its space group is R-3m, No. 166.



--- 2 ---
HfZr2Sc: optimized geometry, PBE.

a b c (Å): 4.498 4.525 4.525
angles (deg): 90.00 90.00 90.00
Element x y z (fractional)
1 Zr 0.000 0.500 0.000
2 Zr 0.000 0.000 0.500
3 Hf 0.500 0.500 0.500
4 Sc 0.500 0.000 0.000

For the density of states at the Fermi level, the calculation gives 5.8 states/eV/f.u. Its space group is P4/mmm, No. 123.



Stability summary: most stable 2, least stable 1.



--- 1 ---
HfZr2Sc: optimized geometry, PBE.

a b c (Å): 5.089 5.612 12.988
angles (deg): 90.00 90.00 90.00
Element x y z (fractional)
1 Hf 0.750 0.579 0.061
2 Sc 0.750 0.085 0.938
3 Zr 0.750 0.078 0.685
4 Zr 0.250 0.415 0.689
5 Hf 0.250 0.921 0.561
6 Zr 0.250 0.915 0.811
7 Sc 0.250 0.415 0.438
8 Sc 0.250 0.915 0.062
9 Zr 0.750 0.585 0.311
10 Zr 0.750 0.578 0.815
11 Hf 0.250 0.421 0.939
12 Zr 0.750 0.085 0.189
13 Zr 0.250 0.422 0.185
14 Hf 0.750 0.079 0.439
15 Zr 0.250 0.922 0.315
16 Sc 0.750 0.585 0.562

For the density of states at the Fermi level, the calculation gives 3.3 states/eV/f.u. Its space group is Pnma, No. 62.



--- 2 ---
HfZr2Sc: optimized geometry, PBE.

a b c (Å): 5.051 5.051 5.051
angles (deg): 60.00 60.00 60.00
Element x y z (fractional)
1 Sc 0.000 0.000 0.000
2 Hf 0.500 0.500 0.500
3 Zr 0.250 0.250 0.250
4 Zr 0.750 0.750 0.750

For the density of states at the Fermi level, the calculation gives 5.4 states/eV/f.u. Its space group is Fm-3m, No. 225.



--- 3 ---
HfZr2Sc: optimized geometry, PBE.

a b c (Å): 3.218 3.218 10.528
angles (deg): 81.21 81.21 60.00
Element x y z (fractional)
1 Sc 0.499 0.499 0.502
2 Zr 0.252 0.252 0.245
3 Hf 0.667 0.667 0.000
4 Zr 0.082 0.082 0.754

For the density of states at the Fermi level, the calculation gives 5.9 states/eV/f.u. Its space group is R3m, No. 160.



--- 4 ---
HfZr2Sc: optimized geometry, PBE.

a b c (Å): 3.179 7.149 5.540
angles (deg): 121.17 90.00 116.41
Element x y z (fractional)
1 Zr 0.000 0.000 0.000
2 Hf 0.000 0.500 0.500
3 Zr 0.500 0.500 0.000
4 Sc 0.500 0.000 0.500

For the density of states at the Fermi level, the calculation gives 5.9 states/eV/f.u. Its space group is Cmmm, No. 65.



Stability summary: most stable 1, least stable 2.



--- 1 ---
Hf3Zr4Sc: optimized geometry, PBE.

a b c (Å): 6.369 6.385 7.115
angles (deg): 77.04 132.08 119.90
Element x y z (fractional)
1 Zr 0.000 0.500 0.000
2 Zr 0.500 0.000 0.000
3 Hf 0.500 0.500 0.000
4 Hf 0.755 0.255 0.500
5 Sc 0.000 0.000 0.000
6 Zr 0.749 0.749 0.498
7 Hf 0.245 0.745 0.500
8 Zr 0.251 0.251 0.502

For the density of states at the Fermi level, the calculation gives 12.4 states/eV/f.u. Its space group is P-1, No. 2.



--- 2 ---
Hf3Zr4Sc: optimized geometry, PBE.

a b c (Å): 3.015 7.968 7.968
angles (deg): 98.28 90.00 90.00
Element x y z (fractional)
1 Sc 0.500 0.000 0.000
2 Zr 0.500 0.750 0.250
3 Hf 0.500 0.500 0.500
4 Hf 0.000 0.500 0.000
5 Zr 0.000 0.745 0.745
6 Zr 0.500 0.250 0.750
7 Zr 0.000 0.255 0.255
8 Hf 0.000 0.000 0.500

For the density of states at the Fermi level, the calculation gives 8.6 states/eV/f.u. Its space group is Cmmm, No. 65.



Stability summary: most stable 1, least stable 2.



--- 1 ---
Hf2Zr2Sc7: optimized geometry, PBE.

a b c (Å): 7.914 5.882 5.882
angles (deg): 94.26 81.29 81.29
Element x y z (fractional)
1 Sc 0.204 0.089 0.458
2 Hf 0.500 0.673 0.327
3 Sc 0.796 0.911 0.542
4 Zr 0.843 0.388 0.388
5 Sc 0.412 0.846 0.846
6 Zr 0.157 0.612 0.612
7 Sc 0.204 0.458 0.089
8 Sc 0.588 0.154 0.154
9 Sc 0.000 0.000 0.000
10 Hf 0.500 0.327 0.673
11 Sc 0.796 0.542 0.911

For the density of states at the Fermi level, the calculation gives 15.3 states/eV/f.u. Its space group is C2/m, No. 12.



--- 2 ---
Hf2Zr2Sc7: optimized geometry, PBE.

a b c (Å): 3.225 10.567 10.567
angles (deg): 52.29 72.24 72.24
Element x y z (fractional)
1 Hf 0.500 0.274 0.726
2 Sc 0.678 0.955 0.367
3 Hf 0.500 0.726 0.274
4 Sc 0.678 0.367 0.955
5 Zr 0.050 0.725 0.725
6 Sc 0.000 0.000 0.000
7 Zr 0.950 0.275 0.275
8 Sc 0.322 0.045 0.633
9 Sc 0.322 0.633 0.045
10 Sc 0.167 0.416 0.416
11 Sc 0.833 0.584 0.584

For the density of states at the Fermi level, the calculation gives 14.4 states/eV/f.u. Its space group is Cmmm, No. 65.



Stability summary: most stable 1, least stable 2.



--- 1 ---
HfZr4Sc4: optimized geometry, PBE.

a b c (Å): 4.526 7.172 7.172
angles (deg): 84.29 71.61 71.61
Element x y z (fractional)
1 Sc 0.334 0.000 0.332
2 Sc 0.666 0.000 0.668
3 Zr 0.665 0.335 0.335
4 Zr 0.335 0.665 0.665
5 Hf 0.000 0.000 0.000
6 Sc 0.666 0.668 0.000
7 Zr 0.000 0.335 0.665
8 Sc 0.334 0.332 0.000
9 Zr 0.000 0.665 0.335

For the density of states at the Fermi level, the calculation gives 13.6 states/eV/f.u. Its space group is I4/mmm, No. 139.



--- 2 ---
HfZr4Sc4: optimized geometry, PBE.

a b c (Å): 3.192 10.801 10.775
angles (deg): 46.04 53.67 72.82
Element x y z (fractional)
1 Zr 0.078 0.667 0.128
2 Sc 0.251 0.688 0.781
3 Zr 0.643 0.015 0.671
4 Sc 0.749 0.312 0.219
5 Hf 0.500 0.000 0.000
6 Zr 0.922 0.333 0.872
7 Sc 0.927 0.662 0.455
8 Sc 0.073 0.338 0.545
9 Zr 0.357 0.985 0.329

For the density of states at the Fermi level, the calculation gives 10.3 states/eV/f.u. Its space group is P2/m, No. 10.



Stability summary: most stable 2, least stable 1.



--- 1 ---
Hf4Zr2Sc5: optimized geometry, PBE.

a b c (Å): 3.230 8.329 10.782
angles (deg): 66.00 98.61 90.00
Element x y z (fractional)
1 Hf 0.608 0.421 0.217
2 Zr 0.757 0.665 0.515
3 Sc 0.828 0.957 0.656
4 Sc 0.172 0.043 0.344
5 Hf 0.986 0.696 0.972
6 Sc 0.874 0.277 0.748
7 Zr 0.243 0.335 0.485
8 Hf 0.392 0.579 0.783
9 Hf 0.014 0.304 0.028
10 Sc 0.500 0.000 0.000
11 Sc 0.126 0.723 0.252

For the density of states at the Fermi level, the calculation gives 16.9 states/eV/f.u. Its space group is C2/m, No. 12.



--- 2 ---
Hf4Zr2Sc5: optimized geometry, PBE.

a b c (Å): 3.136 7.787 10.926
angles (deg): 95.69 98.25 90.00
Element x y z (fractional)
1 Hf 0.962 0.649 0.923
2 Hf 0.038 0.351 0.077
3 Sc 0.184 0.477 0.368
4 Zr 0.586 0.696 0.172
5 Sc 0.816 0.523 0.632
6 Sc 0.866 0.948 0.732
7 Hf 0.724 0.838 0.447
8 Sc 0.134 0.052 0.268
9 Sc 0.500 0.000 0.000
10 Zr 0.414 0.304 0.828
11 Hf 0.276 0.162 0.553

For the density of states at the Fermi level, the calculation gives 15.0 states/eV/f.u. Its space group is C2/m, No. 12.



Stability summary: most stable 1, least stable 2.